Entry 1:
First-principles (GGA-PBE) data for a relaxed structure of Sm5As4P, as listed in the Alexandria database.

Lattice parameters (Å, degrees): 7.265 7.265 7.265 99.60 99.60 131.80
Element x y z (fractional)
Sm1 0.000 0.000 0.000
Sm2 0.204 0.401 0.605
Sm3 0.401 0.796 0.197
Sm4 0.599 0.204 0.803
Sm5 0.796 0.599 0.395
As1 0.099 0.700 0.799
As2 0.300 0.099 0.399
As3 0.700 0.901 0.601
As4 0.901 0.300 0.201
P1 0.500 0.500 0.000

Properties
**Mass density**: 6.89 Mg/m³
**Calculated formation energy**: -1.535 eV/atom
**Spin magnetization**: 0.00 μB/cell
**Crystal system**: tetragonal
**E_tot**: -62.953 eV/cell

Entry 2:
First-principles (GGA-PBE) data for a relaxed structure of Sm6AsP5, as listed in the Alexandria database.

Lattice parameters (Å, degrees): 7.146 7.146 7.146 99.60 99.60 119.98
Element x y z (fractional)
Sm1 0.078 0.416 0.748
Sm2 0.247 0.247 0.252
Sm3 0.416 0.078 0.748
Sm4 0.584 0.922 0.252
Sm5 0.753 0.753 0.748
Sm6 0.922 0.584 0.252
As1 0.500 0.500 0.000
P1 0.000 0.000 0.500
P2 0.167 0.833 0.000
P3 0.334 0.666 0.500
P4 0.666 0.334 0.500
P5 0.833 0.167 0.000

Properties
**Mass density**: 6.31 Mg/m³
**Calculated formation energy**: -1.563 eV/atom
**Spin magnetization**: 0.00 μB/cell
**Crystal system**: monoclinic
**E_tot**: -78.771 eV/cell

Entry 3:
First-principles (GGA-PBE) data for a relaxed structure of Sm4Te2AsP, as listed in the Alexandria database.

Lattice parameters (Å, degrees): 7.352 4.250 7.637 90.00 108.79 90.00
Element x y z (fractional)
Sm1 0.233 0.000 0.214
Sm2 0.255 0.500 0.783
Sm3 0.745 0.500 0.217
Sm4 0.767 0.000 0.786
Te1 0.000 0.000 0.500
Te2 0.500 0.500 0.500
As1 0.500 0.000 0.000
P1 0.000 0.500 0.000

Properties
**ΔE_f (raw)**: -1.553 eV per atom
**Mass density**: 7.08 Mg/m³
**Spin magnetization**: 0.00 μB/cell
**Crystal system**: monoclinic
**E_tot**: -47.641 eV/cell